Record 1
Compound: LiDy2PbSe4
Source: Alexandria
Functional: PBE
Structure: optimized geometry

Unit cell a=8.338 b=8.338 c=8.338 alpha=119.82 beta=119.78 gamma=90.35
Positions (direct):
Li 0.500 0.000 0.000
Li 0.500 0.500 0.500
Dy 0.000 0.000 0.000
Dy 0.000 0.000 0.500
Dy 0.000 0.500 0.000
Dy 0.500 0.000 0.500
Pb 0.000 0.500 0.500
Pb 0.500 0.500 0.000
Se 0.240 0.243 0.997
Se 0.252 0.238 0.486
Se 0.252 0.766 0.014
Se 0.254 0.757 0.497
Se 0.746 0.243 0.503
Se 0.748 0.234 0.986
Se 0.748 0.762 0.514
Se 0.760 0.757 0.003

final energy: -79.39 eV per cell
symmetry: Imma (74)
crystal system: orthorhombic

***

Record 2
Compound: Tm6CdOs
Source: Alexandria
Functional: PBE
Structure: optimized geometry

Unit cell a=6.772 b=6.777 c=7.395 alpha=90.06 beta=117.18 gamma=119.96
Positions (direct):
Tm 0.040 0.080 0.256
Tm 0.297 0.717 0.256
Tm 0.323 0.540 0.744
Tm 0.677 0.460 0.256
Tm 0.703 0.283 0.744
Tm 0.960 0.920 0.744
Cd 0.500 0.000 0.000
Os 0.500 0.500 0.500

symmetry: P-1 (2)
relative energy among the computed polymorphs: 138.8 meV/atom
calculated formation energy: 0.04 eV/atom
crystal system: triclinic

***

Record 3
Compound: La6Pr4Nd
Source: Alexandria
Functional: PBE
Structure: optimized geometry

Unit cell a=9.581 b=9.581 c=9.581 alpha=136.57 beta=136.57 gamma=63.11
Positions (direct):
La 0.000 0.500 0.500
La 0.003 0.631 0.000
La 0.369 0.369 0.372
La 0.500 0.000 0.500
La 0.631 0.003 0.000
La 0.997 0.997 0.628
Pr 0.227 0.227 0.671
Pr 0.444 0.773 0.000
Pr 0.556 0.556 0.329
Pr 0.773 0.444 0.000
Nd 0.000 0.000 0.000

symmetry: I-42m (121)
relative energy among the computed polymorphs: 19.4 meV/atom
calculated formation energy: 0.25 eV/atom
crystal system: tetragonal

***

no.,DOS at the Fermi energy (states/eV/f.u.)
1,3.223
2,9.268
3,19.223